VASP calculation (PBE-GGA) on a geometry-optimized Ac4Hg3Ir structure.

Calculated formation energy (eV/atom): -0.50
Mass density (g cm⁻³): 10.98

The structure in CIF format:
```
data_Ac4Hg3Ir
_cell_length_a 8.072
_cell_length_b 8.119
_cell_length_c 7.878
_cell_angle_alpha 90.00
_cell_angle_beta 94.49
_cell_angle_gamma 90.00
_symmetry_space_group_name_H-M 'P 1 2/c 1'
_symmetry_Int_Tables_number 13
loop_
_symmetry_equiv_pos_as_xyz
'x,y,z'
'-x,-y,-z'
'-x,y,-z+1/2'
'x,-y,z+1/2'
loop_
_atom_site_label
_atom_site_fract_x
_atom_site_fract_y
_atom_site_fract_z
_atom_site_occupancy
Ac1 0.200 0.197 0.478 1
Ac2 0.265 0.268 0.987 1
Hg1 0.000 0.499 0.750 1
Hg2 0.500 0.006 0.750 1
Hg3 0.500 0.487 0.750 1
Ir1 0.000 0.080 0.750 1
```



VASP calculation (PBE-GGA) on a geometry-optimized Ca2NiSb structure.

Mass density (g cm⁻³): 4.04
E_form (uncorrected) (kJ/mol of formula units): -77

The structure in CIF format:
```
data_Ca2NiSb
_cell_length_a 5.032
_cell_length_b 5.121
_cell_length_c 8.323
_cell_angle_alpha 90.00
_cell_angle_beta 90.00
_cell_angle_gamma 90.00
_symmetry_space_group_name_H-M 'C m m 2'
_symmetry_Int_Tables_number 35
loop_
_symmetry_equiv_pos_as_xyz
'x,y,z'
'-x,-y,z'
'-x,y,z'
'x,-y,z'
'x+1/2,y+1/2,z'
'-x+1/2,-y+1/2,z'
'-x+1/2,y+1/2,z'
'x+1/2,-y+1/2,z'
loop_
_atom_site_label
_atom_site_fract_x
_atom_site_fract_y
_atom_site_fract_z
_atom_site_occupancy
Ca1 0.000 0.000 0.000 1
Ca2 0.000 0.500 0.372 1
Ni1 0.000 0.000 0.629 1
Sb1 0.000 0.500 0.740 1
```